The following is a PBE calculation of a relaxed LiHf2Ti3N6 crystal, from Alexandria.

```
LiHf2Ti3N6
1.0
6.7224 -1.5374 0.0000
6.7224 1.5374 0.0000
-1.5049 0.0000 5.9858
Li Hf Ti N
1 2 3 6
direct
0.0000 0.0000 0.0000
0.3401 0.3401 0.6802
0.6599 0.6599 0.3198
0.0000 0.0000 0.5000
0.3424 0.3424 0.1702
0.6576 0.6576 0.8298
0.1652 0.1652 0.5863
0.1685 0.1685 0.0747
0.4972 0.4972 0.2610
0.5028 0.5028 0.7390
0.8315 0.8315 0.9253
0.8348 0.8348 0.4137
```

Output
E_form (uncorrected) (kJ/mol of formula units): -1883
N(E_F) (states/eV per cell): 3.017